[1]
## Mn3Re12Os5 (PBE)

Data for an optimized crystal structure of Mn3Re12Os5.

Properties
Crystal system   cubic
Spin magnetization   0.001 μB/atom
Symmetry   Ia-3d (230)
Formation energy from the elements   1.07 eV/atom
Total DFT energy (no corrections)   -0.389 Ha/atom
DOS at the Fermi energy   1.02 states/eV/atom

Lattice parameters (Å, degrees): 12.3841 12.3841 12.3841 109.47 109.47 109.47
Closest atoms and distances in Å follow each position.
Sites, in units of the cell vectors:
Mn 0.7500 0.3750 0.1250  4 Re 2.40
Mn 0.8750 0.7500 0.1250  4 Re 2.40
Mn 0.3750 0.7500 0.6250  4 Re 2.40
Mn 0.2500 0.1250 0.3750  4 Re 2.40
Mn 0.8750 0.1250 0.2500  4 Re 2.40
Mn 0.3750 0.6250 0.2500  4 Re 2.40
Mn 0.6250 0.3750 0.7500  4 Re 2.40
Mn 0.1250 0.8750 0.7500  4 Re 2.40
Mn 0.7500 0.8750 0.6250  4 Re 2.40
Mn 0.6250 0.2500 0.3750  4 Re 2.40
Mn 0.1250 0.2500 0.8750  4 Re 2.40
Mn 0.2500 0.6250 0.8750  4 Re 2.40
Os 0.1250 0.3750 0.2500  4 Re 2.43
Os 0.0000 0.5000 0.0000  6 Re 2.52
Os 0.0000 0.0000 0.0000  6 Re 2.52
Os 0.3750 0.2500 0.1250  4 Re 2.43
Os 0.5000 0.0000 0.5000  6 Re 2.52
Os 0.5000 0.5000 0.0000  6 Re 2.52
Os 0.1250 0.7500 0.3750  4 Re 2.43
Os 0.7500 0.1250 0.8750  4 Re 2.43
Os 0.7500 0.6250 0.3750  4 Re 2.43
Os 0.3750 0.1250 0.7500  4 Re 2.43
Os 0.6250 0.8750 0.2500  4 Re 2.43
Os 0.5000 0.5000 0.5000  6 Re 2.52
Os 0.5000 0.0000 0.0000  6 Re 2.52
Os 0.0000 0.0000 0.5000  6 Re 2.52
Os 0.2500 0.3750 0.6250  4 Re 2.43
Os 0.2500 0.8750 0.1250  4 Re 2.43
Os 0.0000 0.5000 0.5000  6 Re 2.52
Os 0.8750 0.2500 0.6250  4 Re 2.43
Os 0.6250 0.7500 0.8750  4 Re 2.43
Os 0.8750 0.6250 0.7500  4 Re 2.43
Re 0.7393 0.1400 0.0717  1 Mn 2.40, 2 Os 2.43-2.52, 1 Re 2.50
Re 0.3324 0.5717 0.4317  1 Mn 2.40, 2 Os 2.43-2.52, 1 Re 2.50
Re 0.9283 0.3600 0.2607  1 Mn 2.40, 2 Os 2.43-2.52, 1 Re 2.50
Re 0.5717 0.2393 0.1400  1 Mn 2.40, 2 Os 2.43-2.52, 1 Re 2.50
Re 0.5993 0.7393 0.6676  1 Mn 2.40, 2 Os 2.43-2.52, 1 Re 2.50
Re 0.9283 0.5683 0.1676  1 Mn 2.40, 2 Os 2.43-2.52, 1 Re 2.50
Re 0.3324 0.7607 0.4007  1 Mn 2.40, 2 Os 2.43-2.52, 1 Re 2.50
Re 0.0683 0.9007 0.1400  1 Mn 2.40, 2 Os 2.43-2.52, 1 Re 2.50
Re 0.5683 0.9283 0.6676  1 Mn 2.40, 2 Os 2.43-2.52, 1 Re 2.50
Re 0.7393 0.5993 0.1676  1 Mn 2.40, 2 Os 2.43-2.52, 1 Re 2.50
Re 0.7607 0.4283 0.3600  1 Mn 2.40, 2 Os 2.43-2.52, 1 Re 2.50
Re 0.8324 0.9317 0.0717  1 Mn 2.40, 2 Os 2.43-2.52, 1 Re 2.50
Re 0.1400 0.7393 0.5717  1 Mn 2.40, 2 Os 2.43-2.52, 1 Re 2.50
Re 0.3600 0.4317 0.0993  1 Mn 2.40, 2 Os 2.43-2.52, 1 Re 2.50
Re 0.0993 0.9317 0.3600  1 Mn 2.40, 2 Os 2.43-2.52, 1 Re 2.50
Re 0.4007 0.1400 0.5683  1 Mn 2.40, 2 Os 2.43-2.52, 1 Re 2.50
Re 0.0993 0.1676 0.2393  1 Mn 2.40, 2 Os 2.43-2.52, 1 Re 2.50
Re 0.4283 0.6676 0.0683  1 Mn 2.40, 2 Os 2.43-2.52, 1 Re 2.50
Re 0.8324 0.9007 0.2607  1 Mn 2.40, 2 Os 2.43-2.52, 1 Re 2.50
Re 0.1400 0.4007 0.0683  1 Mn 2.40, 2 Os 2.43-2.52, 1 Re 2.50
Re 0.3600 0.9283 0.7607  1 Mn 2.40, 2 Os 2.43-2.52, 1 Re 2.50
Re 0.5683 0.6400 0.4007  1 Mn 2.40, 2 Os 2.43-2.52, 1 Re 2.50
Re 0.9317 0.8324 0.5717  1 Mn 2.40, 2 Os 2.43-2.52, 1 Re 2.50
Re 0.7607 0.3324 0.9007  1 Mn 2.40, 2 Os 2.43-2.52, 1 Re 2.50
Re 0.4317 0.3600 0.5993  1 Mn 2.40, 2 Os 2.43-2.52, 1 Re 2.50
Re 0.0683 0.1676 0.4283  1 Mn 2.40, 2 Os 2.43-2.52, 1 Re 2.50
Re 0.2393 0.6676 0.0993  1 Mn 2.40, 2 Os 2.43-2.52, 1 Re 2.50
Re 0.1676 0.0993 0.7393  1 Mn 2.40, 2 Os 2.43-2.52, 1 Re 2.50
Re 0.6400 0.0717 0.2393  1 Mn 2.40, 2 Os 2.43-2.52, 1 Re 2.50
Re 0.8600 0.5993 0.9317  1 Mn 2.40, 2 Os 2.43-2.52, 1 Re 2.50
Re 0.5717 0.3324 0.9317  1 Mn 2.40, 2 Os 2.43-2.52, 1 Re 2.50
Re 0.5993 0.8600 0.4317  1 Mn 2.40, 2 Os 2.43-2.52, 1 Re 2.50
Re 0.9007 0.8324 0.7607  1 Mn 2.40, 2 Os 2.43-2.52, 1 Re 2.50
Re 0.9007 0.0683 0.6400  1 Mn 2.40, 2 Os 2.43-2.52, 1 Re 2.50
Re 0.8600 0.2607 0.4283  1 Mn 2.40, 2 Os 2.43-2.52, 1 Re 2.50
Re 0.1676 0.0683 0.9283  1 Mn 2.40, 2 Os 2.43-2.52, 1 Re 2.50
Re 0.6400 0.5683 0.9007  1 Mn 2.40, 2 Os 2.43-2.52, 1 Re 2.50
Re 0.4317 0.0717 0.3324  1 Mn 2.40, 2 Os 2.43-2.52, 1 Re 2.50
Re 0.2607 0.4007 0.8324  1 Mn 2.40, 2 Os 2.43-2.52, 1 Re 2.50
Re 0.2393 0.5717 0.6400  1 Mn 2.40, 2 Os 2.43-2.52, 1 Re 2.50
Re 0.9317 0.0993 0.8600  1 Mn 2.40, 2 Os 2.43-2.52, 1 Re 2.50
Re 0.6676 0.2393 0.5993  1 Mn 2.40, 2 Os 2.43-2.52, 1 Re 2.50
Re 0.4283 0.7607 0.8600  1 Mn 2.40, 2 Os 2.43-2.52, 1 Re 2.50
Re 0.0717 0.4317 0.8324  1 Mn 2.40, 2 Os 2.43-2.52, 1 Re 2.50
Re 0.4007 0.2607 0.3324  1 Mn 2.40, 2 Os 2.43-2.52, 1 Re 2.50
Re 0.0717 0.6400 0.7393  1 Mn 2.40, 2 Os 2.43-2.52, 1 Re 2.50
Re 0.6676 0.4283 0.5683  1 Mn 2.40, 2 Os 2.43-2.52, 1 Re 2.50
Re 0.2607 0.8600 0.9283  1 Mn 2.40, 2 Os 2.43-2.52, 1 Re 2.50


[2]
## Tb6Pd2Rh (PBE)

Data for an optimized crystal structure of Tb6Pd2Rh.

Properties
Crystal system   orthorhombic
Spin magnetization   0.000 μB/atom
Symmetry   Immm (71)
Formation energy from the elements   -0.57 eV/atom
Polymorph energy (0 for the lowest one)   3 meV per atom
Total DFT energy (no corrections)   -0.207 Ha/atom
DOS at the Fermi energy   0.87 states/eV/atom

Lattice parameters (Å, degrees): 8.3902 8.3902 8.3902 109.18 110.19 109.04
Closest atoms and distances in Å follow each position.
Sites, in units of the cell vectors:
Tb 0.5705 0.7422 0.8283  3 Pd 2.99-3.16, 1 Rh 3.00, 1 Tb 3.30
Tb 0.4295 0.2578 0.1717  3 Pd 2.99-3.16, 1 Rh 3.00, 1 Tb 3.30
Tb 0.0861 0.2578 0.8283  3 Pd 2.99-3.16, 1 Rh 3.00, 1 Tb 3.30
Tb 0.9139 0.7422 0.1717  3 Pd 2.99-3.16, 1 Rh 3.00, 1 Tb 3.30
Tb 0.8154 0.7385 0.5539  2 Rh 2.92-3.10, 2 Pd 2.95-3.20
Tb 0.1846 0.2615 0.4461  2 Rh 2.92-3.10, 2 Pd 2.95-3.20
Tb 0.1846 0.7385 0.9231  2 Rh 2.92-3.10, 2 Pd 2.95-3.20
Tb 0.8154 0.2615 0.0769  2 Rh 2.92-3.10, 2 Pd 2.95-3.20
Tb 0.7032 0.3725 0.6693  3 Pd 2.76-2.99
Tb 0.2968 0.6275 0.3307  3 Pd 2.76-2.99
Tb 0.2968 0.9662 0.6693  3 Pd 2.76-2.99
Tb 0.7032 0.0338 0.3307  3 Pd 2.76-2.99
Pd 0.5000 0.3667 0.8667  1 Pd 2.59, 2 Tb 2.76
Pd 0.5000 0.6333 0.1333  1 Pd 2.59, 2 Tb 2.76
Pd 0.6591 0.0000 0.6591  8 Tb 2.95-2.99, 1 Pd 3.06, 1 Rh 3.27
Pd 0.3409 0.0000 0.3409  8 Tb 2.95-2.99, 1 Pd 3.06, 1 Rh 3.27
Rh 0.0000 0.5000 0.5000  4 Tb 2.92
Rh 0.0000 0.0000 0.0000  8 Tb 3.00-3.10, 2 Pd 3.27


[3]
## ZnSn2Hg (PBE)

Data for an optimized crystal structure of ZnSn2Hg.

Properties
Crystal system   cubic
Spin magnetization   0.000 μB/atom
Symmetry   Fm-3m (225)
Formation energy from the elements   0.15 eV/atom
Polymorph energy (0 for the lowest one)   57 meV per atom
Total DFT energy (no corrections)   -0.083 Ha/atom
DOS at the Fermi energy   0.35 states/eV/atom

Lattice parameters (Å, degrees): 5.1675 5.1675 5.1675 60.00 60.00 60.00
Closest atoms and distances in Å follow each position.
Sites, in units of the cell vectors:
Zn 0.0000 0.0000 0.0000  8 Sn 3.16
Hg 0.5000 0.5000 0.5000  8 Sn 3.16
Sn 0.2500 0.2500 0.2500  4 Hg 3.16, 4 Zn 3.16
Sn 0.7500 0.7500 0.7500  4 Hg 3.16, 4 Zn 3.16


[4]
## BaYPaO6 (PBE)

Data for an optimized crystal structure of BaYPaO6.

Properties
Crystal system   trigonal
Spin magnetization   0.225 μB/atom
Symmetry   P312 (149)
Total DFT energy (no corrections)   -0.294 Ha/atom
ΔE_f (raw)   -62.6 kcal/mol of atoms
DOS at the Fermi energy   0.45 states/eV/atom

Lattice parameters (Å, degrees): 4.8181 6.1482 6.1482 120.00 90.00 90.00
Closest atoms and distances in Å follow each position.
Sites, in units of the cell vectors:
Ba 0.5000 0.6667 0.3333  6 O 2.69
Y 0.5000 0.0000 0.0000  6 O 2.30
Pa 0.0000 0.3333 0.6667  6 O 2.19
O 0.7510 0.6550 0.7191  1 Pa 2.19, 1 Y 2.30
O 0.7510 0.2809 0.9360  1 Pa 2.19, 1 Y 2.30
O 0.7510 0.0640 0.3450  1 Pa 2.19, 1 Y 2.30
O 0.2490 0.2809 0.3450  1 Pa 2.19, 1 Y 2.30
O 0.2490 0.6550 0.9360  1 Pa 2.19, 1 Y 2.30
O 0.2490 0.0640 0.7191  1 Pa 2.19, 1 Y 2.30


[5]
## HfPb2C (PBE)

Data for an optimized crystal structure of HfPb2C.

Properties
Crystal system   tetragonal
Spin magnetization   0.000 μB/atom
Symmetry   I-42d (122)
Formation energy from the elements   1.15 eV/atom
Total DFT energy (no corrections)   -0.202 Ha/atom
DOS at the Fermi energy   0.85 states/eV/atom

Lattice parameters (Å, degrees): 7.2369 7.2369 6.0767 53.45 53.45 90.00
Closest atoms and distances in Å follow each position.
Sites, in units of the cell vectors:
Pb 0.5549 0.1250 0.2500  2 C 2.37
Pb 0.1951 0.6250 0.2500  2 C 2.37
Pb 0.3750 0.4451 0.7500  2 C 2.37
Pb 0.8750 0.8049 0.7500  2 C 2.37
C 0.5000 0.5000 0.0000  4 Pb 2.37
C 0.2500 0.7500 0.5000  4 Pb 2.37
Hf 0.0000 0.0000 0.0000  8 Pb 3.05-3.32, 2 C 3.28
Hf 0.7500 0.2500 0.5000  8 Pb 3.05-3.32, 2 C 3.28


[6]
## Mn2BeRh (PBE)

Data for an optimized crystal structure of Mn2BeRh.

Properties
Crystal system   tetragonal
Spin magnetization   0.335 μB/atom
Symmetry   P4mm (99)
Formation energy from the elements   -0.22 eV/atom
Total DFT energy (no corrections)   -0.278 Ha/atom
DOS at the Fermi energy   0.76 states/eV/atom

Lattice parameters (Å, degrees): 2.8703 2.8703 5.5426 90.00 90.00 90.00
Closest atoms and distances in Å follow each position.
Sites, in units of the cell vectors:
Be 0.5000 0.5000 0.7534  4 Rh 2.38, 5 Mn 2.42-2.62
Mn 0.0000 0.0000 0.9907  4 Mn 2.42, 4 Be 2.42, 1 Rh 2.56
Mn 0.5000 0.5000 0.2268  4 Mn 2.42, 1 Be 2.62, 4 Rh 2.63
Rh 0.0000 0.0000 0.5292  4 Be 2.38, 5 Mn 2.56-2.63


[7]
## Zr2ScAl (PBE)

Data for an optimized crystal structure of Zr2ScAl.

Properties
Crystal system   orthorhombic
Spin magnetization   0.000 μB/atom
Symmetry   Cmmm (65)
Formation energy from the elements   -0.17 eV/atom
Total DFT energy (no corrections)   -0.256 Ha/atom
DOS at the Fermi energy   0.99 states/eV/atom

Lattice parameters (Å, degrees): 5.4039 5.4039 3.0938 89.96 89.96 109.08
Closest atoms and distances in Å follow each position.
Sites, in units of the cell vectors:
Sc 0.0000 0.5000 0.5000  2 Sc 3.09, 8 Zr 3.11, 2 Al 3.13
Al 0.5000 0.0000 0.5000  2 Al 3.09, 8 Zr 3.11, 2 Sc 3.13
Zr 0.0000 0.0000 0.0000  4 Zr 3.09-3.13, 4 Sc 3.11, 4 Al 3.11
Zr 0.5000 0.5000 0.0000  4 Zr 3.09-3.13, 4 Al 3.11, 4 Sc 3.11


[8]
## Rb2LiVBr6 (PBE)

Data for an optimized crystal structure of Rb2LiVBr6.

Properties
Crystal system   cubic
Spin magnetization   0.200 μB/atom
Symmetry   Fm-3m (225)
Total DFT energy (no corrections)   -0.134 Ha/atom
ΔE_f (raw)   -30.8 kcal/mol of atoms
DOS at the Fermi energy   1.48 states/eV/atom

Lattice parameters (Å, degrees): 7.5363 7.5363 7.5390 60.01 60.01 90.00
Closest atoms and distances in Å follow each position.
Sites, in units of the cell vectors:
Li 0.5000 0.5000 0.0000  6 Br 2.77
Br 0.2404 0.2404 0.5193  1 V 2.56, 1 Li 2.77
Br 0.7596 0.7596 0.4807  1 V 2.56, 1 Li 2.77
Br 0.2405 0.2405 0.0000  1 V 2.56, 1 Li 2.77
Br 0.7595 0.7595 0.0000  1 V 2.56, 1 Li 2.77
Br 0.7595 0.2405 0.0000  1 V 2.56, 1 Li 2.77
Br 0.2405 0.7595 0.0000  1 V 2.56, 1 Li 2.77
Rb 0.7500 0.2500 0.5000  12 Br 3.77
Rb 0.2500 0.7500 0.5000  12 Br 3.77
V 0.0000 0.0000 0.0000  6 Br 2.56


[9]
## Sc3TaI (PBE)

Data for an optimized crystal structure of Sc3TaI.

Properties
Crystal system   cubic
Spin magnetization   0.000 μB/atom
Symmetry   Pm-3m (221)
Polymorph energy (0 for the lowest one)   0 meV per atom
Total DFT energy (no corrections)   -0.215 Ha/atom
ΔE_f (raw)   14.8 kcal/mol of atoms
DOS at the Fermi energy   2.17 states/eV/atom

Lattice parameters (Å, degrees): 5.2760 5.2760 5.2760 90.00 90.00 90.00
Closest atoms and distances in Å follow each position.
Sites, in units of the cell vectors:
I 0.5000 0.5000 0.5000  12 Sc 3.73
Sc 0.0000 0.5000 0.0000  2 Ta 2.64
Sc 0.0000 0.0000 0.5000  2 Ta 2.64
Sc 0.5000 0.0000 0.0000  2 Ta 2.64
Ta 0.0000 0.0000 0.0000  6 Sc 2.64


[10]
## MgGaPdO4 (PBE)

Data for an optimized crystal structure of MgGaPdO4.

Properties
Crystal system   orthorhombic
Spin magnetization   0.000 μB/atom
Symmetry   Imma (74)
Total DFT energy (no corrections)   -0.211 Ha/atom
ΔE_f (raw)   -34.9 kcal/mol of atoms
DOS at the Fermi energy   0.43 states/eV/atom

Lattice parameters (Å, degrees): 6.0988 6.1301 6.0030 119.32 90.00 119.83
Closest atoms and distances in Å follow each position.
Sites, in units of the cell vectors:
Mg 0.8741 0.7482 0.1241  4 O 2.02
Mg 0.1259 0.2518 0.8759  4 O 2.02
Ga 0.5000 0.0000 0.5000  6 O 2.01-2.03
Ga 0.5000 0.0000 0.0000  6 O 2.01-2.03
Pd 0.5000 0.5000 0.5000  6 O 2.10-2.19
Pd 0.0000 0.5000 0.5000  6 O 2.10-2.19
O 0.7292 0.4583 0.7174  1 Ga 2.01, 1 Mg 2.02, 2 Pd 2.10
O 0.2768 0.0014 0.2507  1 Mg 2.02, 2 Ga 2.03, 1 Pd 2.19
O 0.7245 0.0014 0.2507  1 Mg 2.02, 2 Ga 2.03, 1 Pd 2.19
O 0.7292 0.4583 0.2409  1 Ga 2.01, 1 Mg 2.02, 2 Pd 2.10
O 0.2708 0.5417 0.7591  1 Ga 2.01, 1 Mg 2.02, 2 Pd 2.10
O 0.7232 0.9986 0.7493  1 Mg 2.02, 2 Ga 2.03, 1 Pd 2.19
O 0.2755 0.9986 0.7493  1 Mg 2.02, 2 Ga 2.03, 1 Pd 2.19
O 0.2708 0.5417 0.2826  1 Ga 2.01, 1 Mg 2.02, 2 Pd 2.10


[11]
## PmErInSn (PBE)

Data for an optimized crystal structure of PmErInSn.

Properties
Crystal system   orthorhombic
Spin magnetization   0.000 μB/atom
Symmetry   Imm2 (44)
Formation energy from the elements   -0.55 eV/atom
Polymorph energy (0 for the lowest one)   0 meV per atom
Total DFT energy (no corrections)   -0.168 Ha/atom
DOS at the Fermi energy   0.51 states/eV/atom

Lattice parameters (Å, degrees): 4.7842 4.2430 6.3105 109.64 112.28 90.00
Closest atoms and distances in Å follow each position.
Sites, in units of the cell vectors:
Pm 0.3758 0.8758 0.7516  4 In 3.21, 4 Er 3.51-3.57, 4 Sn 3.53-3.55
Er 0.1189 0.1189 0.2377  4 Sn 3.20, 2 In 3.47, 4 Pm 3.51-3.57
In 0.8492 0.3492 0.6985  2 Sn 3.15, 4 Pm 3.21, 2 Er 3.47
Sn 0.6352 0.6352 0.2704  2 In 3.15, 4 Er 3.20


[12]
## Ca2La2Tm (PBE)

Data for an optimized crystal structure of Ca2La2Tm.

Properties
Crystal system   trigonal
Spin magnetization   0.000 μB/atom
Symmetry   P-3m1 (164)
Formation energy from the elements   0.03 eV/atom
Total DFT energy (no corrections)   -0.133 Ha/atom
DOS at the Fermi energy   1.30 states/eV/atom

Lattice parameters (Å, degrees): 3.7185 3.7185 15.5556 90.02 90.02 60.00
Closest atoms and distances in Å follow each position.
Sites, in units of the cell vectors:
Ca 0.3336 0.3336 0.6054  9 Ca 3.72-3.92, 3 La 3.92-3.93
Ca 0.6664 0.6664 0.3946  9 Ca 3.72-3.92, 3 La 3.92-3.93
La 0.3338 0.3338 0.1832  3 Tm 3.57, 6 La 3.72, 3 Ca 3.92-3.93
La 0.6662 0.6662 0.8168  3 Tm 3.57, 6 La 3.72, 3 Ca 3.92-3.93
Tm 0.0000 0.0000 0.0000  6 La 3.57, 6 Tm 3.72


[13]
## Mn3B2 (PBE)

Data for an optimized crystal structure of Mn3B2.

Properties
Crystal system   orthorhombic
Spin magnetization   0.897 μB/atom
Symmetry   Immm (71)
Formation energy from the elements   -0.29 eV/atom
Total DFT energy (no corrections)   -0.311 Ha/atom
DOS at the Fermi energy   0.69 states/eV/atom

Lattice parameters (Å, degrees): 3.0684 4.2307 4.2307 64.30 68.74 68.74
Closest atoms and distances in Å follow each position.
Sites, in units of the cell vectors:
Mn 0.0000 0.0000 0.0000  4 B 2.07
Mn 0.7986 0.7014 0.7014  6 B 2.19-2.38
Mn 0.2014 0.2986 0.2986  6 B 2.19-2.38
B 0.5000 0.3072 0.6928  1 B 1.74
B 0.5000 0.6928 0.3072  1 B 1.74